Entry 1:
Compound: LiW
Source: Alexandria via LeMat-Bulk
Functional: PBE
Structure: optimized geometry

Structure (POSCAR):
```
LiW
1.0
4.8104 0.0000 0.0000
0.0000 4.8104 0.0000
0.0000 0.0000 4.9913
Li W
4 4
direct
0.1680 0.1680 0.0000
0.3320 0.6680 0.5000
0.6680 0.3320 0.5000
0.8320 0.8320 0.0000
0.1744 0.1744 0.5000
0.3256 0.6744 0.0000
0.6744 0.3256 0.0000
0.8256 0.8256 0.5000
```

- Energy relative to the lowest polymorph listed for this composition: 1016 meV/atom
- Crystal system: tetragonal
- Formation energy: 2.6 eV/f.u.
- DFT total energy: -6.150 eV per atom

=====

Entry 2:
Compound: LiW
Source: Alexandria via LeMat-Bulk
Functional: PBE
Structure: optimized geometry

Structure (POSCAR):
```
LiW
1.0
4.2644 0.0000 0.0000
-2.1322 3.6931 0.0000
0.0000 0.0000 8.8730
Li W
4 4
direct
0.3333 0.6667 0.0644
0.3333 0.6667 0.4356
0.6667 0.3333 0.5644
0.6667 0.3333 0.9356
0.0000 0.0000 0.2500
0.0000 0.0000 0.7500
0.3333 0.6667 0.7500
0.6667 0.3333 0.2500
```

- Energy relative to the lowest polymorph listed for this composition: 669 meV/atom
- Crystal system: hexagonal
- Formation energy: 1.9 eV/f.u.
- DFT total energy: -6.497 eV per atom

=====

Entry 3:
Compound: Li3W
Source: Alexandria via LeMat-Bulk
Functional: PBE
Structure: optimized geometry

Structure (POSCAR):
```
Li3W
1.0
4.8637 -1.2462 0.0000
4.8637 1.2462 0.0000
-0.4283 0.0000 5.3037
Li W
3 1
direct
0.0000 0.0000 0.0000
0.2480 0.2480 0.7327
0.7520 0.7520 0.2673
0.5000 0.5000 0.5000
```

- Energy relative to the lowest polymorph listed for this composition: 270 meV/atom
- Crystal system: monoclinic
- Formation energy: 2.2 eV/f.u.
- DFT total energy: -4.124 eV per atom

=====

Entry 4:
Compound: LiW3
Source: Alexandria via LeMat-Bulk
Functional: PBE
Structure: optimized geometry

Structure (POSCAR):
```
LiW3
1.0
1.3789 0.7961 9.9786
-1.3789 0.7961 9.9786
0.0000 -1.5922 9.9786
Li W
1 3
direct
0.0000 0.0000 0.0000
0.2493 0.2493 0.2493
0.5000 0.5000 0.5000
0.7507 0.7507 0.7507
```

- Energy relative to the lowest polymorph listed for this composition: 187 meV/atom
- Crystal system: trigonal
- Formation energy: 2.0 eV/f.u.
- DFT total energy: -9.691 eV per atom

=====

Entry 5:
Compound: LiW3
Source: Alexandria via LeMat-Bulk
Functional: PBE
Structure: optimized geometry

Structure (POSCAR):
```
LiW3
1.0
-2.1429 2.1429 3.3354
2.1429 -2.1429 3.3354
2.1429 2.1429 -3.3354
Li W
1 3
direct
0.0000 0.0000 0.0000
0.2500 0.7500 0.5000
0.5000 0.5000 0.0000
0.7500 0.2500 0.5000
```

- Energy relative to the lowest polymorph listed for this composition: 153 meV/atom
- Crystal system: tetragonal
- Formation energy: 1.9 eV/f.u.
- DFT total energy: -9.725 eV per atom

=====

Entry 6:
Compound: LiW3
Source: Alexandria via LeMat-Bulk
Functional: PBE
Structure: optimized geometry

Structure (POSCAR):
```
LiW3
1.0
4.9512 0.0000 0.0000
0.0000 4.9512 0.0000
0.0000 0.0000 4.9512
Li W
2 6
direct
0.0000 0.0000 0.0000
0.5000 0.5000 0.5000
0.0000 0.2500 0.5000
0.0000 0.7500 0.5000
0.2500 0.5000 0.0000
0.5000 0.0000 0.2500
0.5000 0.0000 0.7500
0.7500 0.5000 0.0000
```

- Energy relative to the lowest polymorph listed for this composition: 157 meV/atom
- Crystal system: cubic
- Formation energy: 1.9 eV/f.u.
- DFT total energy: -9.722 eV per atom